Entry from the Alexandria database: a geometry-optimized Pu2NpTl3Te6 structure (GGA-PBE).

The calculation puts the spin magnetization at 1.1666 μB per atom. The value obtained for the formation energy (no corrections) is -719 meV per atom. As for the crystal system: monoclinic.

Cell lengths 7.7862, 7.7862, 8.5510 Å; angles 98.73, 98.73, 119.99 degrees
With the nearest neighbours (Å) after each atom.
Fractional coordinates of all 12 atoms:
1 Pu 0.1665 0.8335 0.0000  6 Te 3.13-3.14
2 Pu 0.8335 0.1665 0.0000  6 Te 3.13-3.14
3 Np 0.5000 0.5000 0.0000  6 Te 3.10
4 Tl 0.0000 0.0000 0.5000  6 Te 3.48-3.51
5 Tl 0.3325 0.6675 0.5000  6 Te 3.48-3.51
6 Tl 0.6675 0.3325 0.5000  6 Te 3.48-3.51
7 Te 0.0991 0.4290 0.7870  1 Np 3.10, 2 Pu 3.13
8 Te 0.2414 0.2414 0.2140  1 Np 3.10, 2 Pu 3.14
9 Te 0.4290 0.0991 0.7870  1 Np 3.10, 2 Pu 3.13
10 Te 0.5710 0.9009 0.2130  1 Np 3.10, 2 Pu 3.13
11 Te 0.7586 0.7586 0.7860  1 Np 3.10, 2 Pu 3.14
12 Te 0.9009 0.5710 0.2130  1 Np 3.10, 2 Pu 3.13



Entry from the Alexandria database: a geometry-optimized FeCo structure (GGA-PBE).

The calculation puts the spin magnetization at 2.0869 μB per atom. Its uncorrected energy is -7.74 eV/atom. As for the crystal system: orthorhombic.

Cell lengths 5.6128, 5.6128, 3.6307 Å; angles 90.00, 90.00, 127.11 degrees
With the nearest neighbours (Å) after each atom.
Fractional coordinates of all 8 atoms:
1 Fe 0.1322 0.8678 0.0000  7 Co 2.46-2.50, 5 Fe 2.58-2.66
2 Fe 0.2518 0.2518 0.5000  6 Fe 2.48-2.58, 6 Co 2.51-2.52
3 Fe 0.7482 0.7482 0.5000  6 Fe 2.48-2.58, 6 Co 2.51-2.52
4 Fe 0.8678 0.1322 0.0000  7 Co 2.46-2.50, 5 Fe 2.58-2.66
5 Co 0.0000 0.5000 0.5000  6 Co 2.50-2.55, 6 Fe 2.50-2.51
6 Co 0.3773 0.6227 0.0000  7 Fe 2.46-2.52, 5 Co 2.47-2.55
7 Co 0.5000 0.0000 0.5000  6 Co 2.50-2.55, 6 Fe 2.50-2.51
8 Co 0.6227 0.3773 0.0000  7 Fe 2.46-2.52, 5 Co 2.47-2.55



Entry from the Alexandria database: a geometry-optimized TaNbOsRu structure (GGA-PBE).

The calculation puts the spin magnetization at 0.0003 μB per atom. Its uncorrected energy is -10.82 eV/atom. As for the crystal system: cubic.

Cell lengths 4.5041, 4.5041, 4.5041 Å; angles 60.00, 60.00, 60.00 degrees
With the nearest neighbours (Å) after each atom.
Fractional coordinates of all 4 atoms:
1 Ta 0.0000 0.0000 0.0000  4 Os 2.76, 4 Ru 2.76
2 Nb 0.5000 0.5000 0.5000  4 Os 2.76, 4 Ru 2.76
3 Os 0.7500 0.7500 0.7500  4 Nb 2.76, 4 Ta 2.76
4 Ru 0.2500 0.2500 0.2500  4 Nb 2.76, 4 Ta 2.76



Entry from the Alexandria database: a geometry-optimized Sr2TcBiC structure (GGA-PBE).

The calculation puts the spin magnetization at 0.2317 μB per atom. Its uncorrected energy is -4.92 eV/atom. As for the crystal system: tetragonal.

Cell lengths 6.0935, 6.0935, 3.8754 Å; angles 90.00, 90.00, 90.00 degrees
With the nearest neighbours (Å) after each atom.
Fractional coordinates of all 5 atoms:
1 Sr 0.0000 0.5000 0.0000  2 Tc 3.05
2 Sr 0.5000 0.0000 0.0000  2 Tc 3.05
3 Tc 0.0000 0.0000 0.0000  2 C 1.94
4 Bi 0.5000 0.5000 0.5000  8 Sr 3.61, 2 Bi 3.88
5 C 0.0000 0.0000 0.5000  2 Tc 1.94



Entry from the Alexandria database: a geometry-optimized In2Ag14Te9 structure (GGA-PBE).

The calculation puts the spin magnetization at 0.0000 μB per atom. The value obtained for the formation energy (no corrections) is -49 meV per atom. As for the crystal system: triclinic.

Cell lengths 7.7666, 8.6161, 11.2146 Å; angles 88.28, 86.72, 63.96 degrees
With the nearest neighbours (Å) after each atom.
Fractional coordinates of all 25 atoms:
1 In 0.1188 0.1746 0.3006  4 Te 3.00-3.13, 3 Ag 3.04-3.31
2 In 0.8812 0.8254 0.6994  4 Te 3.00-3.13, 3 Ag 3.04-3.31
3 Ag 0.1714 0.8003 0.1003  4 Te 2.82-3.10, 2 Ag 2.95-2.96
4 Ag 0.1758 0.4497 0.9205  3 Te 2.85-2.93, 3 Ag 2.97-3.13
5 Ag 0.2706 0.4450 0.4061  3 Te 2.81-2.97, 3 Ag 2.98-3.13
6 Ag 0.2846 0.6897 0.5844  3 Te 2.83-2.88, 4 Ag 2.93-3.13, 1 In 3.04
7 Ag 0.4771 0.8626 0.4260  4 Te 2.86-3.03, 4 Ag 3.02-3.16
8 Ag 0.4778 0.8488 0.9593  4 Te 2.92-2.96, 3 Ag 2.95-3.13
9 Ag 0.4926 0.5866 0.2497  3 Te 2.82-2.91, 5 Ag 2.93-3.10
10 Ag 0.5074 0.4134 0.7503  3 Te 2.82-2.91, 5 Ag 2.93-3.10
11 Ag 0.5222 0.1512 0.0407  4 Te 2.92-2.96, 3 Ag 2.95-3.13
12 Ag 0.5229 0.1374 0.5740  4 Te 2.86-3.03, 4 Ag 3.02-3.16
13 Ag 0.7154 0.3103 0.4156  3 Te 2.83-2.88, 4 Ag 2.93-3.13, 1 In 3.04
14 Ag 0.7294 0.5550 0.5939  3 Te 2.81-2.97, 3 Ag 2.98-3.13
15 Ag 0.8242 0.5503 0.0795  3 Te 2.85-2.93, 3 Ag 2.97-3.13
16 Ag 0.8286 0.1997 0.8997  4 Te 2.82-3.10, 2 Ag 2.95-2.96
17 Te 0.1350 0.8172 0.3539  5 Ag 2.82-3.01, 1 In 3.07
18 Te 0.1414 0.1628 0.0328  5 Ag 2.82-3.10, 1 In 3.00
19 Te 0.1589 0.4339 0.6629  6 Ag 2.86-3.16, 1 In 3.13
20 Te 0.4625 0.8678 0.6961  5 Ag 2.81-3.03, 1 In 3.11
21 Te 0.5000 0.5000 0.0000  8 Ag 2.91-2.96
22 Te 0.5375 0.1322 0.3039  5 Ag 2.81-3.03, 1 In 3.11
23 Te 0.8411 0.5661 0.3371  6 Ag 2.86-3.16, 1 In 3.13
24 Te 0.8586 0.8372 0.9672  5 Ag 2.82-3.10, 1 In 3.00
25 Te 0.8650 0.1828 0.6461  5 Ag 2.82-3.01, 1 In 3.07



Entry from the Alexandria database: a geometry-optimized Li8In3Bi4 structure (GGA-PBE).

The calculation puts the spin magnetization at 0.0000 μB per atom. Its uncorrected energy is -2.98 eV/atom. As for the crystal system: cubic.

Cell lengths 9.8542, 9.8542, 9.8542 Å; angles 60.00, 60.00, 60.00 degrees
With the nearest neighbours (Å) after each atom.
Fractional coordinates of all 30 atoms:
1 Li 0.1026 0.6325 0.6325  4 Bi 2.96-3.20, 3 In 3.08, 3 Li 3.28
2 Li 0.1322 0.1322 0.1322  4 Bi 2.96-3.19, 3 In 3.08, 3 Li 3.28
3 Li 0.1322 0.1322 0.6034  4 Bi 2.96-3.19, 3 In 3.08, 3 Li 3.28
4 Li 0.1322 0.6034 0.1322  4 Bi 2.96-3.19, 3 In 3.08, 3 Li 3.28
5 Li 0.3675 0.3675 0.3675  4 Bi 2.96-3.20, 3 In 3.08, 3 Li 3.28
6 Li 0.3675 0.3675 0.8974  4 Bi 2.96-3.20, 3 In 3.08, 3 Li 3.28
7 Li 0.3675 0.8974 0.3675  4 Bi 2.96-3.20, 3 In 3.08, 3 Li 3.28
8 Li 0.3966 0.8678 0.8678  4 Bi 2.96-3.19, 3 In 3.08, 3 Li 3.28
9 Li 0.6034 0.1322 0.1322  4 Bi 2.96-3.19, 3 In 3.08, 3 Li 3.28
10 Li 0.6325 0.1026 0.6325  4 Bi 2.96-3.20, 3 In 3.08, 3 Li 3.28
11 Li 0.6325 0.6325 0.1026  4 Bi 2.96-3.20, 3 In 3.08, 3 Li 3.28
12 Li 0.6325 0.6325 0.6325  4 Bi 2.96-3.20, 3 In 3.08, 3 Li 3.28
13 Li 0.8678 0.3966 0.8678  4 Bi 2.96-3.19, 3 In 3.08, 3 Li 3.28
14 Li 0.8678 0.8678 0.3966  4 Bi 2.96-3.19, 3 In 3.08, 3 Li 3.28
15 Li 0.8678 0.8678 0.8678  4 Bi 2.96-3.19, 3 In 3.08, 3 Li 3.28
16 Li 0.8974 0.3675 0.3675  4 Bi 2.96-3.20, 3 In 3.08, 3 Li 3.28
17 In 0.2502 0.2502 0.7498  8 Li 3.08
18 In 0.2502 0.7498 0.2502  8 Li 3.08
19 In 0.2502 0.7498 0.7498  8 Li 3.08
20 In 0.7498 0.2502 0.2502  8 Li 3.08
21 In 0.7498 0.2502 0.7498  8 Li 3.08
22 In 0.7498 0.7498 0.2502  8 Li 3.08
23 Bi 0.0000 0.0000 0.0000  8 Li 3.19, 6 In 3.49
24 Bi 0.0000 0.0000 0.5000  8 Li 2.96
25 Bi 0.0000 0.5000 0.0000  8 Li 2.96
26 Bi 0.0000 0.5000 0.5000  8 Li 2.96
27 Bi 0.5000 0.0000 0.0000  8 Li 2.96
28 Bi 0.5000 0.0000 0.5000  8 Li 2.96
29 Bi 0.5000 0.5000 0.0000  8 Li 2.96
30 Bi 0.5000 0.5000 0.5000  8 Li 3.20, 6 In 3.48



Entry from the Alexandria database: a geometry-optimized NpMnOsRu structure (GGA-PBE).

The calculation puts the spin magnetization at 1.7103 μB per atom. Its uncorrected energy is -10.51 eV/atom. As for the crystal system: cubic.

Cell lengths 4.5563, 4.5563, 4.5563 Å; angles 60.00, 60.00, 60.00 degrees
With the nearest neighbours (Å) after each atom.
Fractional coordinates of all 4 atoms:
1 Np 0.0000 0.0000 0.0000  4 Os 2.79, 4 Ru 2.79
2 Mn 0.5000 0.5000 0.5000  4 Os 2.79, 4 Ru 2.79
3 Os 0.7500 0.7500 0.7500  4 Mn 2.79, 4 Np 2.79
4 Ru 0.2500 0.2500 0.2500  4 Mn 2.79, 4 Np 2.79



Entry from the Alexandria database: a geometry-optimized CsHgWS4 structure (GGA-PBE).

The calculation puts the spin magnetization at 0.0000 μB per atom. The value obtained for the formation energy (no corrections) is -583 meV per atom. As for the crystal system: monoclinic.

Cell lengths 5.7658, 7.5974, 10.1053 Å; angles 90.00, 102.49, 90.00 degrees
With the nearest neighbours (Å) after each atom.
Fractional coordinates of all 14 atoms:
1 Cs 0.2130 0.2500 0.3805  11 S 3.68-4.03
2 Cs 0.7870 0.7500 0.6195  11 S 3.68-4.03
3 Hg 0.3816 0.7500 0.9937  1 S 2.68
4 Hg 0.6184 0.2500 0.0063  1 S 2.68
5 W 0.1366 0.2500 0.7842  4 S 2.18-2.27
6 W 0.8634 0.7500 0.2158  4 S 2.18-2.27
7 S 0.0803 0.2500 0.9996  1 W 2.27
8 S 0.2077 0.7500 0.3566  1 W 2.18
9 S 0.3277 0.0102 0.7440  1 W 2.21
10 S 0.3277 0.4898 0.7440  1 W 2.21
11 S 0.6723 0.5102 0.2560  1 W 2.21
12 S 0.6723 0.9898 0.2560  1 W 2.21
13 S 0.7923 0.2500 0.6434  1 W 2.18
14 S 0.9197 0.7500 0.0004  1 W 2.27



Entry from the Alexandria database: a geometry-optimized AsP2Au structure (GGA-PBE).

The calculation puts the spin magnetization at 0.0000 μB per atom. Its uncorrected energy is -4.12 eV/atom. As for the crystal system: orthorhombic.

Cell lengths 2.7418, 4.9844, 5.0157 Å; angles 90.00, 90.00, 90.00 degrees
With the nearest neighbours (Å) after each atom.
Fractional coordinates of all 4 atoms:
1 As 0.0000 0.0000 0.0000  2 As 2.74, 4 P 2.84, 4 Au 2.86
2 P 0.0000 0.5000 0.5000  6 P 2.74-2.86, 4 Au 2.84
3 P 0.5000 0.5000 0.0000  6 P 2.74-2.86, 4 As 2.84
4 Au 0.5000 0.0000 0.5000  2 Au 2.74, 4 P 2.84, 4 As 2.86



Entry from the Alexandria database: a geometry-optimized CaLaCeSm structure (GGA-PBE).

The calculation puts the spin magnetization at 0.5431 μB per atom. Its uncorrected energy is -4.16 eV/atom. As for the crystal system: cubic.

Cell lengths 5.8847, 5.8847, 5.8847 Å; angles 60.00, 60.00, 60.00 degrees
With the nearest neighbours (Å) after each atom.
Fractional coordinates of all 4 atoms:
1 Ca 0.0000 0.0000 0.0000  4 Sm 3.60, 4 La 3.60
2 La 0.2500 0.2500 0.2500  4 Ce 3.60, 4 Ca 3.60
3 Ce 0.5000 0.5000 0.5000  4 La 3.60, 4 Sm 3.60
4 Sm 0.7500 0.7500 0.7500  4 Ca 3.60, 4 Ce 3.60



Entry from the Alexandria database: a geometry-optimized Ho5Sb4N structure (GGA-PBE).

The calculation puts the spin magnetization at 0.0000 μB per atom. The value obtained for the formation energy (no corrections) is -1058 meV per atom. As for the crystal system: tetragonal.

Cell lengths 7.2672, 7.2672, 7.2672 Å; angles 100.30, 100.30, 129.97 degrees
With the nearest neighbours (Å) after each atom.
Fractional coordinates of all 10 atoms:
1 Ho 0.0000 0.0000 0.0000  1 N 2.23
2 Ho 0.1630 0.3250 0.6476  1 N 2.58
3 Ho 0.3250 0.6775 0.1621  1 N 2.58
4 Ho 0.5154 0.1630 0.8379  1 N 2.58
5 Ho 0.6775 0.5154 0.3524  1 N 2.58
6 Sb 0.0027 0.6096 0.7779  6 Ho 3.02-3.19
7 Sb 0.2248 0.0027 0.3931  6 Ho 3.02-3.19
8 Sb 0.6096 0.8316 0.6069  6 Ho 3.02-3.19
9 Sb 0.8316 0.2248 0.2221  6 Ho 3.02-3.19
10 N 0.3634 0.3634 0.0000  1 Ho 2.23



Entry from the Alexandria database: a geometry-optimized SrBeAlAu3 structure (GGA-PBE).

The calculation puts the spin magnetization at 0.0000 μB per atom. Its uncorrected energy is -3.60 eV/atom. As for the crystal system: orthorhombic.

Cell lengths 6.7954, 6.7954, 6.6773 Å; angles 90.00, 90.00, 124.33 degrees
With the nearest neighbours (Å) after each atom.
Fractional coordinates of all 12 atoms:
1 Sr 0.2269 0.7731 0.7500  8 Au 3.20-3.56, 1 Be 3.23
2 Sr 0.7731 0.2269 0.2500  8 Au 3.20-3.56, 1 Be 3.23
3 Be 0.4956 0.5044 0.7500  5 Au 2.31-2.34
4 Be 0.5044 0.4956 0.2500  5 Au 2.31-2.34
5 Al 0.1024 0.8976 0.2500  5 Au 2.49-2.60
6 Al 0.8976 0.1024 0.7500  5 Au 2.49-2.60
7 Au 0.2478 0.2478 0.0000  2 Be 2.31
8 Au 0.2478 0.2478 0.5000  2 Be 2.31
9 Au 0.3095 0.6905 0.2500  1 Be 2.34, 1 Al 2.49
10 Au 0.6905 0.3095 0.7500  1 Be 2.34, 1 Al 2.49
11 Au 0.7522 0.7522 0.0000  2 Be 2.31
12 Au 0.7522 0.7522 0.5000  2 Be 2.31



> Look up the spin magnetization of the tenth one.

0.5431 μB per atom



> Among the records above, which one has the highest spin magnetization?

FeCo



> Among the records above, which one has the highest spin magnetization?

FeCo